The following is a PBE calculation of YZnCuGe2 after structural relaxation, from the Alexandria database.

Values from the calculation:
Its volume is 90.2 Å³ per cell. The calculation puts the energy of formation at -2.1 eV/f.u. The total magnetic moment is 0.00 μB per formula unit. Its mass density is 6.68 g/cm3. The value obtained for the density of states at the Fermi level is 2.48 states/eV per cell.

a = 4.069 Å, b = 4.069 Å, c = 6.162 Å
α = 109.28°, β = 109.28°, γ = 90.00°
Fractional positions:
Y: 0.000 0.000 0.000
Zn: 0.750 0.250 0.500
Cu: 0.250 0.750 0.500
Ge: 0.615 0.615 0.230
Ge: 0.385 0.385 0.770

---

The following is a PBE calculation of ZnInTcAu2 after structural relaxation, from the Alexandria database.

Values from the calculation:
Its volume is 139.9 Å³ per cell. The calculation puts the energy of formation at 6.1 eV/f.u. The total magnetic moment is 3.62 μB per formula unit. Its mass density is 7.98 g/cm3. The value obtained for the density of states at the Fermi level is 4.41 states/eV per cell.

a = 5.159 Å, b = 5.258 Å, c = 5.159 Å
α = 90.00°, β = 90.00°, γ = 90.00°
Each line ends with the local moment (μB).
Fractional positions:
Zn: 0.500 0.500 0.500  0.01
Au: 0.000 0.000 0.500  0.00
Au: 0.500 0.000 0.000  0.06
Tc: 0.000 0.500 0.000  3.07
In: 0.000 0.000 0.000  -0.06

---

The following is a PBE calculation of ThHgH after structural relaxation, from the Alexandria database.

Values from the calculation:
Its volume is 64.1 Å³ per cell. The total magnetic moment is 0.00 μB per formula unit. Its mass density is 11.23 g/cm3. The calculation puts the offset from the most stable computed form at 0.097 eV per atom. The value obtained for the density of states at the Fermi level is 3.71 states/eV per cell.

a = 3.916 Å, b = 3.916 Å, c = 4.830 Å
α = 90.00°, β = 90.00°, γ = 120.00°
Fractional positions:
H: 0.333 0.667 0.501
Hg: 0.000 0.000 0.000
Th: 0.667 0.333 0.500

---

The following is a PBE calculation of RePt5 after structural relaxation, from the Alexandria database.

Values from the calculation:
Its volume is 92.9 Å³ per cell. The calculation puts the energy of formation at -0.6 eV/f.u. The total magnetic moment is 0.00 μB per formula unit. Its mass density is 20.76 g/cm3. The calculation puts the offset from the most stable computed form at 0.000 eV per atom. The value obtained for the density of states at the Fermi level is 8.01 states/eV per cell.

a = 2.771 Å, b = 2.771 Å, c = 12.100 Å
α = 90.00°, β = 90.00°, γ = 90.00°
Fractional positions:
Pt: 0.000 0.000 0.843
Pt: 0.000 0.000 0.157
Pt: 0.500 0.500 0.669
Pt: 0.500 0.500 0.331
Pt: 0.000 0.000 0.500
Re: 0.500 0.500 0.000

---

The following is a PBE calculation of AcSn2Pd2Pt after structural relaxation, from the Alexandria database.

Values from the calculation:
Its volume is 152.3 Å³ per cell. The calculation puts the energy of formation at -2.6 eV/f.u. The total magnetic moment is 0.00 μB per formula unit. Its mass density is 9.51 g/cm3. The value obtained for the density of states at the Fermi level is 3.37 states/eV per cell.

a = 5.132 Å, b = 5.132 Å, c = 5.782 Å
α = 90.00°, β = 90.00°, γ = 90.00°
Fractional positions:
Ac: 0.000 0.000 0.500
Sn: 0.500 0.000 0.000
Sn: 0.000 0.500 0.000
Pd: 0.500 0.500 0.743
Pd: 0.500 0.500 0.257
Pt: 0.000 0.000 0.000

---

The following is a PBE calculation of RbBaP2O after structural relaxation, from the Alexandria database.

Values from the calculation:
Its volume is 195.9 Å³ per cell. The total magnetic moment is 4.38 μB per formula unit. Its mass density is 2.55 g/cm3. Its raw formation energy is 0.180 eV per atom. The calculation puts the offset from the most stable computed form at 0.000 eV per atom. The value obtained for the density of states at the Fermi level is 4.16 states/eV per cell.

a = 6.423 Å, b = 6.423 Å, c = 4.748 Å
α = 90.00°, β = 90.00°, γ = 90.00°
Each line ends with the local moment (μB).
Fractional positions:
O: 0.000 0.000 0.500  0.10
P: 0.000 0.500 0.000  0.85
P: 0.500 0.000 0.000  0.85
Ba: 0.000 0.000 0.000  0.04
Rb: 0.500 0.500 0.500  0.01